No. 1
An optimized crystal structure of Rb2ZrMnC. Source: Alexandria, functional PBE.

Properties
Total moment ... 6.21 μB/cell
DFT total energy ... -4.34 eV/atom
Space group ... P4/mmm

Unit cell a=7.1492 b=3.6951 c=7.1492 alpha=90.00 beta=90.00 gamma=90.00
Closest atoms and distances in Å follow each position.
Fractional positions:
C1 0.0000 0.5000 0.0000  2 Mn 1.85
Mn1 0.0000 0.0000 0.0000  2 C 1.85
Zr1 0.5000 0.5000 0.5000  2 Zr 3.70, 8 Rb 4.02
Rb1 0.0000 0.0000 0.5000  2 Mn 3.57, 2 Rb 3.70
Rb2 0.5000 0.0000 0.0000  2 Mn 3.57, 2 Rb 3.70

***

No. 2
An optimized crystal structure of Co2IrSe. Source: Alexandria, functional PBE.

Properties
Total moment ... 2.28 μB/cell
ΔE_f (raw) ... 29.2 kJ per mole of atoms
DFT total energy ... -6.34 eV/atom
Space group ... Pmmm

Unit cell a=2.7718 b=3.5063 c=5.4681 alpha=90.00 beta=90.00 gamma=90.00
Closest atoms and distances in Å follow each position.
Fractional positions:
Co1 0.0000 0.0000 0.4904  4 Ir 2.59, 4 Co 2.63-2.84, 4 Se 2.65
Co2 0.0000 0.0000 0.0096  4 Ir 2.59, 4 Co 2.63-2.84, 4 Se 2.65
Se1 0.5000 0.5000 0.7500  8 Co 2.65, 2 Ir 2.73, 2 Se 2.77
Ir1 0.5000 0.5000 0.2500  8 Co 2.59, 2 Se 2.73, 2 Ir 2.77

***

No. 3
An optimized crystal structure of Tb5HoEr3. Source: Alexandria, functional PBE.

Properties
Offset from the most stable computed form ... 204 meV per atom
Total moment ... 0.00 μB/cell
DFT total energy ... -4.08 eV/atom
Space group ... C2/m

Unit cell a=9.4264 b=9.4264 c=11.5201 alpha=52.87 beta=52.87 gamma=74.43
Closest atoms and distances in Å follow each position.
Fractional positions:
Tb1 0.1500 0.6537 0.7461  3 Tb 3.31-3.70, 2 Er 3.45-3.50
Tb2 0.8500 0.3463 0.2539  3 Tb 3.31-3.70, 2 Er 3.45-3.50
Tb3 0.7433 0.2567 0.0000  1 Er 2.93
Tb4 0.3463 0.8500 0.2539  3 Tb 3.31-3.70, 2 Er 3.45-3.50
Tb5 0.4897 0.4897 0.2354  3 Er 3.18-3.32, 3 Tb 3.26-3.39, 1 Ho 3.34
Tb6 0.2567 0.7433 0.0000  1 Er 2.93
Tb7 0.6537 0.1500 0.7461  3 Tb 3.31-3.70, 2 Er 3.45-3.50
Tb8 0.5103 0.5103 0.7646  3 Er 3.18-3.32, 3 Tb 3.26-3.39, 1 Ho 3.34
Tb9 0.1820 0.1820 0.0408  3 Er 3.10-3.31, 3 Tb 3.26-3.31, 1 Ho 3.28
Tb10 0.8180 0.8180 0.9592  3 Er 3.10-3.31, 3 Tb 3.26-3.31, 1 Ho 3.28
Er1 0.6887 0.6887 0.8210  1 Er 3.05, 5 Tb 3.18-3.33, 1 Ho 3.37
Er2 0.0000 0.0000 0.5000  2 Er 3.05, 2 Ho 3.19
Er3 0.3113 0.3113 0.1790  1 Er 3.05, 5 Tb 3.18-3.33, 1 Ho 3.37
Er4 0.3401 0.3401 0.6416  2 Er 3.16-3.34, 4 Tb 3.20-3.50, 1 Ho 3.25
Er5 0.0000 0.0000 0.0000  4 Tb 2.93-3.10
Er6 0.6599 0.6599 0.3584  2 Er 3.16-3.34, 4 Tb 3.20-3.50, 1 Ho 3.25
Ho1 0.8494 0.8494 0.4032  4 Er 3.19-3.37, 2 Tb 3.28-3.34
Ho2 0.1506 0.1506 0.5968  4 Er 3.19-3.37, 2 Tb 3.28-3.34

***

No. 4
An optimized crystal structure of Li2ZnAu. Source: Alexandria, functional PBE.

Properties
Total moment ... 0.00 μB/cell
DFT total energy ... -2.46 eV/atom
Space group ... Cmmm

Unit cell a=4.5556 b=4.5556 c=3.0341 alpha=90.00 beta=90.00 gamma=104.48
Closest atoms and distances in Å follow each position.
Fractional positions:
Zn1 0.5000 0.0000 0.5000  8 Li 2.74, 2 Au 2.79, 2 Zn 3.03
Au1 0.0000 0.5000 0.5000  8 Li 2.74, 2 Zn 2.79, 2 Au 3.03
Li1 0.5000 0.5000 0.0000  4 Zn 2.74, 4 Au 2.74, 4 Li 2.79-3.03
Li2 0.0000 0.0000 0.0000  4 Au 2.74, 4 Zn 2.74, 4 Li 2.79-3.03

***

No. 5
An optimized crystal structure of SrCaPm2Se4. Source: Alexandria, functional PBE.

Properties
Total moment ... 0.00 μB/cell
ΔE_f (raw) ... -183.8 kJ per mole of atoms
DFT total energy ... -5.30 eV/atom
Space group ... P2/m

Unit cell a=4.2213 b=7.4706 c=7.3082 alpha=70.95 beta=90.00 gamma=90.00
Closest atoms and distances in Å follow each position.
Fractional positions:
Se1 0.0000 0.2442 0.2575  3 Pm 2.97-3.02, 1 Ca 3.00, 2 Sr 3.05
Se2 0.5000 0.2490 0.7444  3 Pm 2.97-3.02, 2 Ca 3.00, 1 Sr 3.05
Se3 0.5000 0.7510 0.2556  3 Pm 2.97-3.02, 2 Ca 3.00, 1 Sr 3.05
Se4 0.0000 0.7558 0.7425  3 Pm 2.97-3.02, 1 Ca 3.00, 2 Sr 3.05
Pm1 0.0000 0.0000 0.0000  6 Se 3.02
Pm2 0.5000 0.0000 0.5000  6 Se 2.97
Ca1 0.0000 0.5000 0.5000  6 Se 3.00
Sr1 0.5000 0.5000 0.0000  6 Se 3.05

***

No. 6
An optimized crystal structure of Hf3Sc2TaN6. Source: Alexandria, functional PBE.

Properties
Total moment ... 0.00 μB/cell
ΔE_f (raw) ... -167.4 kJ per mole of atoms
DFT total energy ... -10.43 eV/atom
Space group ... C2/m

Unit cell a=5.5190 b=5.5190 c=5.5018 alpha=99.60 beta=99.60 gamma=120.02
Closest atoms and distances in Å follow each position.
Fractional positions:
Ta1 0.0000 0.0000 0.0000  6 N 2.25-2.27
N1 0.7522 0.7522 0.2557  3 Hf 2.23-2.25, 1 Ta 2.27, 2 Sc 2.27
N2 0.5835 0.9170 0.7504  3 Hf 2.24-2.25, 2 Sc 2.25, 1 Ta 2.25
N3 0.9170 0.5835 0.7504  3 Hf 2.24-2.25, 2 Sc 2.25, 1 Ta 2.25
N4 0.0830 0.4165 0.2496  3 Hf 2.24-2.25, 2 Sc 2.25, 1 Ta 2.25
N5 0.4165 0.0830 0.2496  3 Hf 2.24-2.25, 2 Sc 2.25, 1 Ta 2.25
N6 0.2478 0.2478 0.7443  3 Hf 2.23-2.25, 1 Ta 2.27, 2 Sc 2.27
Hf1 0.5000 0.5000 0.5000  6 N 2.23-2.25
Hf2 0.8314 0.1686 0.5000  6 N 2.24-2.25
Hf3 0.1686 0.8314 0.5000  6 N 2.24-2.25
Sc1 0.3335 0.6665 0.0000  6 N 2.25-2.27
Sc2 0.6665 0.3335 0.0000  6 N 2.25-2.27

***

No. 7
An optimized crystal structure of CeFeCoC. Source: Alexandria, functional PBE.

Properties
Total moment ... 0.60 μB/cell
DFT total energy ... -7.48 eV/atom
Space group ... Amm2

Unit cell a=3.1486 b=4.0928 c=4.6407 alpha=116.17 beta=90.00 gamma=90.00
Closest atoms and distances in Å follow each position.
Fractional positions:
Fe1 0.5000 0.5562 0.1123  2 C 1.90
Ce1 0.5000 0.2679 0.5357  1 Fe 2.40, 4 C 2.67
Co1 0.0000 0.9219 0.8439  1 C 1.98
C1 0.0000 0.6844 0.3689  2 Fe 1.90, 1 Co 1.98

***

No. 8
An optimized crystal structure of PmEuBiCl. Source: Alexandria, functional PBE.

Properties
Total moment ... 7.93 μB/cell
ΔE_f (raw) ... -108.2 kJ per mole of atoms
DFT total energy ... -6.31 eV/atom
Space group ... F-43m

Unit cell a=5.4742 b=5.4742 c=5.4742 alpha=60.00 beta=60.00 gamma=60.00
Closest atoms and distances in Å follow each position.
Fractional positions:
Cl1 0.5000 0.5000 0.5000  4 Eu 3.35, 4 Pm 3.35
Bi1 0.0000 0.0000 0.0000  4 Pm 3.35, 4 Eu 3.35
Pm1 0.2500 0.2500 0.2500  4 Cl 3.35, 4 Bi 3.35
Eu1 0.7500 0.7500 0.7500  4 Bi 3.35, 4 Cl 3.35